(1)
Here is a relaxed structure of KNb3Os from the Alexandria database. Energies are from PBE.

Calculated values
The total energy is -36.64 eV per cell. The calculation puts the relative energy among the computed polymorphs at 0.000 eV per atom. Its energy of formation from the pure elements is 5.9 eV/f.u.

Structure (CIF):
```
data_KNb3Os
_space_group_name_H-M_alt 'P m -3 m'
_space_group_IT_number 221
_space_group_name_Hall '-P 4 2 3'
_cell_length_a 5.006
_cell_length_b 5.006
_cell_length_c 5.006
_cell_angle_alpha 90.00
_cell_angle_beta 90.00
_cell_angle_gamma 90.00
loop_
_atom_site_label
_atom_site_fract_x
_atom_site_fract_y
_atom_site_fract_z
K1 0.000 0.000 0.000
Nb1 0.000 0.500 0.500
Os1 0.500 0.500 0.500
```

=====

(2)
Here is a relaxed structure of Y2TiCu2 from the Alexandria database. Energies are from PBE.

Calculated values
The total energy is -58.55 eV per cell. The calculation puts the relative energy among the computed polymorphs at 0.000 eV per atom. Its energy of formation from the pure elements is -0.3 eV/f.u.

Structure (CIF):
```
data_Y2TiCu2
_space_group_name_H-M_alt 'P 4/m b m'
_space_group_IT_number 127
_space_group_name_Hall '-P 4 2ab'
_cell_length_a 6.769
_cell_length_b 6.769
_cell_length_c 4.556
_cell_angle_alpha 90.00
_cell_angle_beta 90.00
_cell_angle_gamma 90.00
loop_
_atom_site_label
_atom_site_fract_x
_atom_site_fract_y
_atom_site_fract_z
Y1 0.178 0.322 0.000
Ti1 0.000 0.000 0.500
Cu1 0.129 0.629 0.500
```

=====

(3)
Here is a relaxed structure of Ba2AgRh3Pb4 from the Alexandria database. Energies are from PBE.

Calculated values
The total energy is -46.24 eV per cell. Its energy of formation from the pure elements is -2.7 eV/f.u.

Structure (CIF):
```
data_Ba2AgRh3Pb4
_space_group_name_H-M_alt 'P -4 m 2'
_space_group_IT_number 115
_cell_length_a 4.936
_cell_length_b 4.936
_cell_length_c 10.828
_cell_angle_alpha 90.00
_cell_angle_beta 90.00
_cell_angle_gamma 90.00
loop_
_space_group_symop_operation_xyz
'x,y,z'
'y,-x,-z'
'-x,-y,z'
'-y,x,-z'
'-x,y,z'
'-y,-x,-z'
'x,-y,z'
'y,x,-z'
loop_
_atom_site_label
_atom_site_fract_x
_atom_site_fract_y
_atom_site_fract_z
Ba1 0.000 0.500 0.244
Ag1 0.500 0.500 0.000
Rh1 0.000 0.000 0.000
Rh2 0.000 0.500 0.621
Pb1 0.000 0.000 0.500
Pb2 0.000 0.500 0.873
Pb3 0.500 0.500 0.500
```